[1]
DFT (PBE) results for a geometry-optimized Pm2DyS4 structure.

The structure in POSCAR format:
```
Pm2DyS4
1.0
-3.838 3.234 6.180
2.962 -0.706 7.337
2.957 6.436 3.597
S Pm Dy
8 4 2
Direct
0.746 0.260 0.247 S
0.241 0.253 0.753 S
0.746 0.747 0.760 S
0.759 0.747 0.247 S
0.752 0.253 0.753 S
0.254 0.740 0.753 S
0.254 0.253 0.240 S
0.248 0.747 0.247 S
0.000 0.500 0.500 Pm
0.000 0.000 0.000 Pm
0.000 0.000 0.500 Pm
0.500 0.000 0.500 Pm
0.500 0.500 0.000 Dy
0.000 0.500 0.000 Dy
```

Values from the calculation:
Volume in Å³/f.u.: 179
DOS(E_F) in states/eV per cell: 3.85
Calculated total energy in eV per atom: -6.41
Formation energy (no corrections) in eV per atom: -2.034

[2]
DFT (PBE) results for a geometry-optimized Pm2DyS4 structure.

The structure in POSCAR format:
```
Pm2DyS4
1.0
8.198 0.292 -0.139
-0.300 8.197 0.139
-3.846 -4.340 5.810
S Pm Dy
8 4 2
Direct
0.860 0.620 0.239 S
0.380 0.140 0.761 S
0.871 0.131 0.261 S
0.379 0.619 0.239 S
0.870 0.610 0.739 S
0.869 0.129 0.739 S
0.381 0.621 0.761 S
0.390 0.130 0.261 S
0.125 0.375 0.750 Pm
0.625 0.875 0.250 Pm
0.625 0.375 0.750 Pm
0.625 0.375 0.250 Pm
0.000 0.000 0.000 Dy
0.250 0.750 0.500 Dy
```

Values from the calculation:
Volume in Å³/f.u.: 196
DOS(E_F) in states/eV per cell: 8.07
Calculated total energy in eV per atom: -6.30
Formation energy (no corrections) in eV per atom: -1.922

[3]
DFT (PBE) results for a geometry-optimized PmDy4S5 structure.

The structure in POSCAR format:
```
PmDy4S5
1.0
-1.410 -0.139 3.664
-3.806 -3.715 -1.605
8.847 -5.382 1.093
Dy S Pm
4 5 1
Direct
0.798 0.798 0.597 Dy
0.600 0.600 0.199 Dy
0.202 0.202 0.403 Dy
0.400 0.400 0.801 Dy
0.604 0.104 0.208 S
0.199 0.699 0.398 S
0.000 0.500 0.000 S
0.801 0.301 0.602 S
0.396 0.896 0.792 S
0.000 0.000 0.000 Pm
```

Values from the calculation:
Volume in Å³/f.u.: 215
DOS(E_F) in states/eV per cell: 4.49
Calculated total energy in eV per atom: -6.37
Formation energy (no corrections) in eV per atom: -1.994

[4]
DFT (PBE) results for a geometry-optimized Pm2DyS3 structure.

The structure in POSCAR format:
```
Pm2DyS3
1.0
-2.146 3.230 0.947
-3.644 -3.250 2.829
6.142 0.706 3.094
Pm Dy S
2 1 3
Direct
0.170 0.170 0.840 Pm
0.830 0.830 0.160 Pm
0.500 0.500 0.500 Dy
0.840 0.340 0.181 S
0.500 0.000 0.500 S
0.160 0.660 0.819 S
```

Values from the calculation:
Volume in Å³/f.u.: 135
DOS(E_F) in states/eV per cell: 2.52
Calculated total energy in eV per atom: -6.43
Formation energy (no corrections) in eV per atom: -2.017

[5]
DFT (PBE) results for a geometry-optimized PmDyS3 structure.

The structure in POSCAR format:
```
PmDyS3
1.0
3.971 0.000 0.000
0.000 7.382 0.000
0.000 0.000 15.357
Dy S Pm
4 12 4
Direct
0.250 0.768 0.543 Dy
0.250 0.268 0.957 Dy
0.750 0.232 0.457 Dy
0.750 0.732 0.043 Dy
0.250 0.011 0.394 S
0.250 0.376 0.564 S
0.750 0.351 0.284 S
0.750 0.489 0.894 S
0.250 0.511 0.106 S
0.750 0.851 0.216 S
0.750 0.124 0.064 S
0.250 0.649 0.716 S
0.750 0.624 0.436 S
0.750 0.989 0.606 S
0.250 0.149 0.784 S
0.250 0.876 0.936 S
0.750 0.857 0.798 Pm
0.250 0.143 0.202 Pm
0.750 0.357 0.702 Pm
0.250 0.643 0.298 Pm
```

Values from the calculation:
Volume in Å³/f.u.: 113
Calculated total energy in eV per atom: -6.43
Formation energy (no corrections) in eV per atom: -2.085

[6]
DFT (PBE) results for a geometry-optimized Pm3DyS structure.

The structure in POSCAR format:
```
Pm3DyS
1.0
-2.547 4.408 1.946
-3.132 -3.188 3.120
3.662 0.340 4.023
S Dy Pm
1 1 3
Direct
0.000 0.000 0.000 S
0.500 0.500 0.500 Dy
0.500 0.000 0.000 Pm
0.000 0.000 0.500 Pm
0.000 0.500 0.000 Pm
```

Values from the calculation:
Volume in Å³/f.u.: 162
DOS(E_F) in states/eV per cell: 5.52
Calculated total energy in eV per atom: -5.26
Formation energy (no corrections) in eV per atom: -0.668

[7]
DFT (PBE) results for a geometry-optimized PmDyS2 structure.

The structure in POSCAR format:
```
PmDyS2
1.0
-3.539 -1.501 -0.795
3.142 -2.348 0.137
-2.071 -2.009 13.009
Pm Dy S
2 2 4
Direct
0.667 0.333 0.250 Pm
0.333 0.667 0.750 Pm
0.000 0.000 0.000 Dy
0.000 0.000 0.500 Dy
0.667 0.333 0.882 S
0.667 0.333 0.618 S
0.333 0.667 0.382 S
0.333 0.667 0.118 S
```

Values from the calculation:
Volume in Å³/f.u.: 89
DOS(E_F) in states/eV per cell: 2.90
Calculated total energy in eV per atom: -6.42
Formation energy (no corrections) in eV per atom: -2.014

[8]
DFT (PBE) results for a geometry-optimized Pm3Dy4S8 structure.

The structure in POSCAR format:
```
Pm3Dy4S8
1.0
-0.226 -5.238 -5.912
-3.044 -1.886 7.063
-4.590 6.448 -0.261
Pm S Dy
3 8 4
Direct
0.500 0.000 0.500 Pm
0.500 0.500 0.500 Pm
0.500 0.500 0.000 Pm
0.007 0.756 0.756 S
0.993 0.244 0.244 S
0.000 0.248 0.752 S
0.500 0.246 0.754 S
0.500 0.754 0.246 S
0.494 0.243 0.243 S
0.506 0.757 0.757 S
0.000 0.752 0.248 S
0.000 0.000 0.000 Dy
0.500 0.000 0.000 Dy
0.000 0.500 0.000 Dy
0.000 0.000 0.500 Dy
```

Values from the calculation:
Volume in Å³/f.u.: 351
DOS(E_F) in states/eV per cell: 6.70
Calculated total energy in eV per atom: -6.43
Formation energy (no corrections) in eV per atom: -2.050

Q: Number 6 is which compound?
A: Pm3DyS

What did the sixth record say?
DFT (PBE) results for a geometry-optimized Pm3DyS structure.

The structure in POSCAR format:
```
Pm3DyS
1.0
-2.547 4.408 1.946
-3.132 -3.188 3.120
3.662 0.340 4.023
S Dy Pm
1 1 3
Direct
0.000 0.000 0.000 S
0.500 0.500 0.500 Dy
0.500 0.000 0.000 Pm
0.000 0.000 0.500 Pm
0.000 0.500 0.000 Pm
```

Values from the calculation:
Volume in Å³/f.u.: 162
DOS(E_F) in states/eV per cell: 5.52
Calculated total energy in eV per atom: -5.26
Formation energy (no corrections) in eV per atom: -0.668